(1)
A geometry-optimized K2GaS structure, computed with PBE.

Volume ... 121.1 Å³/cell
Formation energy from raw total energies ... -245 meV/atom
Final energy ... -2.583 eV/atom
Distance to the lowest polymorph of the same formula ... 0 meV/atom

```
K2GaS
1.0
0.0000 3.9269 3.9269
3.9269 0.0000 3.9269
3.9269 3.9269 0.0000
K S Ga
2 1 1
direct
0.2500 0.2500 0.2500
0.7500 0.7500 0.7500
0.0000 0.0000 0.0000
0.5000 0.5000 0.5000
```



(2)
A geometry-optimized Pm3Nd8Tm3 structure, computed with PBE.

Volume ... 480.1 Å³/cell
Final energy ... -4.600 eV/atom
Distance to the lowest polymorph of the same formula ... 0 meV/atom
ΔE_f ... 100.2 meV/atom

```
Pm3Nd8Tm3
1.0
5.6274 -0.0067 1.1210
2.7814 9.3985 0.7625
1.0821 -3.2415 9.2180
Nd Tm Pm
8 3 3
direct
0.1624 0.4404 0.2342
0.3413 0.4368 0.8810
0.1624 0.2342 0.4404
0.6587 0.1190 0.5632
0.8376 0.7658 0.5596
0.8376 0.5596 0.7658
0.6587 0.5632 0.1190
0.3413 0.8810 0.4368
0.7995 0.2002 0.2002
0.5000 0.5000 0.5000
0.2005 0.7998 0.7998
0.5000 0.0000 0.0000
0.0000 0.8205 0.1795
0.0000 0.1795 0.8205
```



(3)
A geometry-optimized Pm3Er2TaN6 structure, computed with PBE.

Volume ... 173.2 Å³/cell
Formation energy from raw total energies ... -1510 meV/atom
Final energy ... -8.608 eV/atom

```
Pm3Er2TaN6
1.0
5.9376 0.0014 0.0014
-2.9661 5.1436 0.0014
-0.9898 -1.7139 5.6687
Pm N Er Ta
3 6 2 1
direct
0.1671 0.8329 0.5000
0.5000 0.5000 0.5000
0.8329 0.1671 0.5000
0.3828 0.0733 0.2193
0.7641 0.7641 0.2247
0.0733 0.3828 0.2193
0.2359 0.2359 0.7753
0.6172 0.9267 0.7807
0.9267 0.6172 0.7807
0.6667 0.3333 0.0000
0.3333 0.6667 0.0000
0.0000 0.0000 0.0000
```